Th2GaAu3: optimized geometry, GGA-PBE.

The structure in CIF format:
```
data_Th2GaAu3
_chemical_formula_sum 'Th2 Ga1 Au3'
_symmetry_space_group_name_H-M 'P m m 2'
_symmetry_Int_Tables_number 25
_cell_length_a 3.506
_cell_length_b 4.747
_cell_length_c 8.225
_cell_angle_alpha 90.00
_cell_angle_beta 90.00
_cell_angle_gamma 90.00
loop_
_symmetry_equiv_pos_as_xyz
'x,y,z'
'-x,-y,z'
'-x,y,z'
'x,-y,z'
loop_
_atom_site_label
_atom_site_fract_x
_atom_site_fract_y
_atom_site_fract_z
Th1 0.000 0.000 0.000
Th2 0.000 0.500 0.490
Ga1 0.500 0.500 0.824
Au1 0.500 0.000 0.332
Au2 0.500 0.000 0.674
Au3 0.500 0.500 0.149
```

Computed properties:
**Crystal system**: orthorhombic
**E above lowest polymorph**: 0 meV/atom
**Energy relative to the elements**: -0.704 eV per atom
**D(E_F)**: 0.8746 states/eV/atom